(1)
Cs2LiZrBr6 (PBE, relaxed); formation energy (no corrections) = -1.55 eV/atom; excess energy over the best structure of this formula in the dataset = 13 meV/atom; spin magnetization = 1.0 μB per cell; space-group type = I4/mmm (139); V = 33.730 Å³ per atom; ρ = 4.152 g/cm3
1.0
7.8095 0.0000 0.0000
0.0000 7.8095 0.0000
3.9047 3.9047 5.5305
Zr Li Br Cs
1 1 6 2
Cartesian
0.0000 0.0000 0.0000
3.9047 3.9047 0.0000
7.8095 7.8095 2.7246
5.8834 1.9261 0.0000
5.8834 5.8834 0.0000
3.9047 3.9047 2.8059
1.9261 5.8834 0.0000
1.9261 1.9261 0.0000
3.9047 7.8095 2.7653
7.8095 3.9047 2.7653

=====

(2)
TaAlHCl2 (PBE, relaxed); electronic total energy = -4.41 eV/atom; spin magnetization = 0.0 μB per cell; space-group type = P4/mmm (123); V = 18.200 Å³ per atom; ρ = 5.106 g/cm3
1.0
-4.6914 -0.0098 -1.4903
1.0112 -1.7384 -3.1718
-0.6816 -4.3634 2.1742
Al Cl Ta H
1 2 1 1
Cartesian
-2.1809 -3.0558 -1.2440
-2.3457 -0.0049 -0.7451
-0.3408 -2.1817 1.0871
0.0000 0.0000 0.0000
0.5056 -0.8692 -1.5859

=====

(3)
ZrInMo2 (PBE, relaxed); spin magnetization = 0.0 μB per cell; space-group type = Cmmm (65); V = 18.583 Å³ per atom; energy relative to the elements = 317 meV/atom; ρ = 8.889 g/cm3
1.0
-4.3067 2.1318 2.3934
2.7917 -3.3524 3.1288
1.5733 2.1582 0.9087
Zr Mo In
1 2 1
Cartesian
-1.3667 2.1450 1.6511
0.0000 0.0000 0.0000
-0.7575 -0.6103 2.7611
2.1825 -0.5971 2.0187

=====

(4)
NaSrCdRh (PBE, relaxed); spin magnetization = 0.0 μB per cell; space-group type = F-43m (216); V = 23.117 Å³ per atom; energy relative to the elements = -68 meV/atom; ρ = 5.853 g/cm3
1.0
5.0758 0.0000 0.0000
2.5379 4.3958 0.0000
2.5379 1.4653 4.1444
Cd Sr Na Rh
1 1 1 1
Cartesian
0.0000 0.0000 0.0000
5.0758 2.9305 2.0722
7.6137 4.3958 3.1083
2.5379 1.4653 1.0361

=====

(5)
MgZnSb2I (PBE, relaxed); formation energy (no corrections) = 0.48 eV/atom; excess energy over the best structure of this formula in the dataset = 89 meV/atom; spin magnetization = 0.6 μB per cell; space-group type = P4/mmm (123); V = 34.295 Å³ per atom; ρ = 4.456 g/cm3
1.0
-3.0480 1.8236 4.2040
0.3773 -4.9320 2.4129
4.6977 1.6711 2.6811
Zn I Sb Mg
1 1 2 1
Cartesian
1.0135 -0.7187 4.6490
2.3488 0.8355 1.3405
-1.5240 0.9118 2.1020
0.1887 -2.4660 1.2065
0.0000 0.0000 0.0000

=====

(6)
MgPaAl2 (PBE, relaxed); spin magnetization = 0.0 μB per cell; space-group type = P4/mmm (123); V = 21.263 Å³ per atom; energy relative to the elements = -71 meV/atom; ρ = 6.039 g/cm3
1.0
-2.4351 2.6748 -2.2261
-2.4908 -3.4403 -1.4090
-2.6904 0.4976 3.5410
Mg Al Pa
1 2 1
Cartesian
-1.2176 1.3374 -1.1130
-1.2454 -1.7201 -0.7045
-1.3452 0.2488 1.7705
-3.8082 -0.1339 -0.0470

=====

(7)
YTm2Zn9 (PBE, relaxed); spin magnetization = 0.0 μB per cell; space-group type = R-3m (166); V = 18.004 Å³ per atom; energy relative to the elements = -319 meV/atom; ρ = 7.805 g/cm3
1.0
-4.6127 0.5508 -2.7824
-3.4427 -4.1619 -0.3858
-6.6362 1.4094 6.0112
Zn Y Tm
9 1 2
Cartesian
-7.3537 -1.3402 4.0740
-7.3378 -0.8615 -1.2310
-7.9503 1.0628 2.8520
-4.9858 -1.1424 0.1877
-7.3458 -1.1009 1.4215
-6.7412 -3.2645 -0.0090
-9.7057 -1.0594 2.6552
-5.3893 -2.3948 -2.0780
-9.3022 0.1930 4.9210
0.0000 0.0000 0.0000
-4.9748 0.3106 3.0394
-9.7167 -2.5123 -0.1965

=====

(8)
YCd2Pb (PBE, relaxed); spin magnetization = 0.0 μB per cell; space-group type = Pm (6); V = 26.847 Å³ per atom; energy relative to the elements = -186 meV/atom; ρ = 8.055 g/cm3
1.0
-0.5728 -4.2815 -2.3169
-0.5953 -1.5357 2.9851
-6.2720 1.2146 -0.6938
Cd Y Pb
2 1 1
Cartesian
-1.8493 -2.2487 -0.5727
-6.4126 0.8107 0.0874
-5.4745 -2.3742 0.5556
-3.4093 0.2635 0.3559

=====

(9)
LiScTl2I6 (PBE, relaxed); formation energy (no corrections) = -0.98 eV/atom; spin magnetization = 0.0 μB per cell; space-group type = P2_1/c (14); V = 37.688 Å³ per atom; ρ = 5.385 g/cm3
1.0
-5.5640 -1.6147 5.4165
5.7236 0.6144 6.0627
-2.3028 11.0826 1.0509
I Tl Sc Li
12 4 2 2
Cartesian
0.0355 0.3271 2.3105
-4.3244 9.6245 6.6713
1.6854 8.2294 8.9529
-3.3966 5.1150 6.0753
-3.8287 1.8530 3.5772
-1.0750 5.2646 9.8098
-2.1787 9.7552 10.2195
-2.6576 1.5896 8.2626
1.2533 4.9674 6.4547
2.1812 0.4579 5.8587
0.5144 8.4928 4.2675
-1.0682 4.8178 2.7203
-1.3183 7.8419 7.2077
-6.6336 6.7731 6.5698
4.4903 3.3092 5.9603
-0.8250 2.2405 5.3223
2.8618 0.3072 3.0314
-3.9334 4.7340 3.2337
1.7104 5.8485 3.5568
-2.7820 -0.8073 2.7083

=====

(10)
LiHg6Pd5 (PBE, relaxed); excess energy over the best structure of this formula in the dataset = 0 meV/atom; spin magnetization = 0.0 μB per cell; space-group type = P-1 (2); V = 18.088 Å³ per atom; energy relative to the elements = -206 meV/atom; ρ = 13.332 g/cm3
1.0
4.6664 -0.3830 0.9734
-0.0099 5.8827 2.4025
1.4173 0.0354 8.2656
Pd Hg Li
5 6 1
Cartesian
3.9730 0.7254 6.6116
-0.0049 2.9414 1.2013
2.1007 4.8096 5.0300
3.9812 3.6991 7.7452
2.0926 1.8359 3.8963
1.6649 2.4191 6.6592
4.4089 3.1160 4.9823
4.4123 0.1771 3.7825
3.7501 1.3244 9.3567
2.3237 4.2107 2.2849
1.6615 5.3579 7.8591
0.0000 0.0000 0.0000

=====

(11)
GdErCd2 (PBE, relaxed); excess energy over the best structure of this formula in the dataset = 0 meV/atom; spin magnetization = 7.8 μB per cell; space-group type = Fm-3m (225); V = 26.177 Å³ per atom; energy relative to the elements = -331 meV/atom; ρ = 8.712 g/cm3
1.0
5.2905 0.0000 0.0000
2.6453 4.5817 0.0000
2.6453 1.5272 4.3197
Cd Gd Er
2 1 1
Cartesian
2.6453 1.5272 1.0799
7.9358 4.5817 3.2398
5.2905 3.0545 2.1598
0.0000 0.0000 0.0000

=====

(12)
HfPa5Sn2 (PBE, relaxed); spin magnetization = 0.0 μB per cell; space-group type = Pbam (55); V = 24.151 Å³ per atom; energy relative to the elements = -204 meV/atom; ρ = 13.503 g/cm3
1.0
-2.0493 0.2641 3.9221
-2.5517 -6.0352 -0.9270
10.5178 -5.3464 5.8556
Pa Hf Sn
10 2 4
Cartesian
2.5482 -1.5828 1.4380
1.2347 -4.5813 0.9536
-1.6296 -5.3135 2.0116
2.1108 -3.5487 3.8472
7.5464 -5.8041 6.8392
0.0000 0.0000 0.0000
3.9831 -5.6908 2.4643
3.8060 -7.5689 5.0036
5.4179 -9.7988 3.4906
6.7314 -6.8003 3.9751
5.2589 -2.6732 2.9278
-1.2759 -3.0176 -0.4635
-0.5086 -2.1955 2.3874
6.4254 -8.9220 6.4633
4.9119 -4.4866 5.3739
1.0049 -6.6310 3.4768

=====

Which value of ρ does entry 9 give?
5.385 g/cm3

=====

Repeat the twelfth record exactly.
HfPa5Sn2 (PBE, relaxed); spin magnetization = 0.0 μB per cell; space-group type = Pbam (55); V = 24.151 Å³ per atom; energy relative to the elements = -204 meV/atom; ρ = 13.503 g/cm3
1.0
-2.0493 0.2641 3.9221
-2.5517 -6.0352 -0.9270
10.5178 -5.3464 5.8556
Pa Hf Sn
10 2 4
Cartesian
2.5482 -1.5828 1.4380
1.2347 -4.5813 0.9536
-1.6296 -5.3135 2.0116
2.1108 -3.5487 3.8472
7.5464 -5.8041 6.8392
0.0000 0.0000 0.0000
3.9831 -5.6908 2.4643
3.8060 -7.5689 5.0036
5.4179 -9.7988 3.4906
6.7314 -6.8003 3.9751
5.2589 -2.6732 2.9278
-1.2759 -3.0176 -0.4635
-0.5086 -2.1955 2.3874
6.4254 -8.9220 6.4633
4.9119 -4.4866 5.3739
1.0049 -6.6310 3.4768

=====

What is the formula in the sixth record?
MgPaAl2

=====

Look up the V of the third one.
18.583 Å³ per atom